FeIrPbSe2 PBE optimized geometry; space group = P4/mmm (123); crystal system = tetragonal; energy relative to the elements, uncorrected = 1.899 eV per atom; N(E_F) = 2.3779 states/eV per atom
1.0
5.404 0.000 0.000
0.000 4.965 0.000
0.000 0.000 5.404
Se Fe Ir Pb
2 1 1 1
Cartesian
2.702 0.000 0.000
0.000 0.000 2.702
0.000 2.482 0.000
2.702 2.482 2.702
0.000 0.000 0.000